Material: Tm2AlNi2
Method: DFT, PBE
State: relaxed

## Properties
Total DFT energy (no corrections) in eV/atom: -5.351

The structure in POSCAR format:
```
Tm2AlNi2
1.0
-2.091 2.675 4.004
2.091 -2.675 4.004
2.091 2.675 -4.004
Tm Al Ni
2 1 2
Direct
0.204 0.204 0.000
0.796 0.796 0.000
0.500 0.000 0.500
0.230 0.500 0.730
0.770 0.500 0.270
```